[1]
Compound: LaSm2Ho
Source: Alexandria via LeMat-Bulk
Functional: PBE
Structure: relaxed

Properties
- Mass density: 7403 kg/m³
- E above lowest polymorph: 0.001 eV per atom
- Energy of formation from the pure elements: 0.022 eV per atom

Unit cell a=12.112 b=3.637 c=6.250 alpha=90.00 beta=99.91 gamma=90.00
Space group C2/m (No. 12)
One atom of each set of equivalent atoms:
La 0.000 0.000 0.000 x2
Sm 0.248 0.000 0.748 x4
Ho 0.000 0.500 0.500 x2

[2]
Compound: La6Sm4Ho
Source: Alexandria via LeMat-Bulk
Functional: PBE
Structure: relaxed

Properties
- Mass density: 6650 kg/m³
- E above lowest polymorph: 0.161 eV per atom
- Energy of formation from the pure elements: 0.261 eV per atom

Unit cell a=7.014 b=7.014 c=16.240 alpha=90.00 beta=90.00 gamma=90.00
Space group I-42m (No. 121)
One atom of each set of equivalent atoms:
La 0.000 0.500 0.000 x4
La 0.190 0.190 0.182 x8
Sm 0.171 0.171 0.395 x8
Ho 0.000 0.000 0.000 x2

[3]
Compound: LaSm7Ho3
Source: Alexandria via LeMat-Bulk
Functional: PBE
Structure: relaxed

Properties
- Mass density: 7346 kg/m³
- E above lowest polymorph: 0.000 eV per atom
- Energy of formation from the pure elements: 0.218 eV per atom

Unit cell a=11.765 b=10.109 c=6.444 alpha=90.00 beta=95.84 gamma=90.00
Space group C2/m (No. 12)
One atom of each set of equivalent atoms:
La 0.000 0.000 0.000 x2
Sm 0.000 0.000 0.500 x2
Sm 0.235 0.500 0.710 x4
Sm 0.248 0.325 0.241 x8
Ho 0.000 0.330 0.500 x4
Ho 0.000 0.500 0.000 x2

[4]
Compound: La4Sm3Ho
Source: Alexandria via LeMat-Bulk
Functional: PBE
Structure: relaxed

Properties
- Mass density: 6886 kg/m³
- E above lowest polymorph: 0.139 eV per atom
- Energy of formation from the pure elements: 0.347 eV per atom

Unit cell a=6.967 b=13.523 c=5.998 alpha=90.00 beta=90.00 gamma=90.00
Space group Cmmm (No. 65)
One atom of each set of equivalent atoms:
La 0.000 0.247 0.000 x4
La 0.222 0.000 0.500 x4
Sm 0.000 0.500 0.000 x2
Sm 0.250 0.250 0.500 x4
Ho 0.000 0.000 0.000 x2

Q: The highest mass density belongs to which entry?
A: LaSm2Ho